Material: BaNpV2O8
Method: DFT, PBE+U
State: optimized geometry

Output
The calculation puts the energy at -8.22 eV per atom. Its total magnetization is 0.250 μB/atom.

Cell: 5.7930 5.7930 7.5846 Å, 90.00 90.00 120.00°
Space group P-3 (No. 147)
Symmetry-distinct sites (fractional):
Ba1 0.0000 0.0000 0.0000 (multiplicity 1)
Np1 0.0000 0.0000 0.5000 (multiplicity 1)
V1 0.3333 0.6667 0.7629 (multiplicity 2)
O1 0.1642 0.3315 0.6891 (multiplicity 6)
O2 0.3333 0.6667 0.9837 (multiplicity 2)


Material: BaNpVO6
Method: DFT, PBE+U
State: optimized geometry

Output
The calculation puts the energy at -8.43 eV per atom. Its total magnetization is 0.222 μB/atom.

Cell: 5.4413 5.4413 5.7664 Å, 90.00 90.00 120.00°
Space group P312 (No. 149)
Symmetry-distinct sites (fractional):
Ba1 0.0000 0.0000 0.0000 (multiplicity 1)
Np1 0.6667 0.3333 0.5000 (multiplicity 1)
V1 0.3333 0.6667 0.5000 (multiplicity 1)
O1 0.0133 0.3858 0.6896 (multiplicity 6)


Material: BaNp2VO8
Method: DFT, PBE+U
State: optimized geometry

Output
The calculation puts the energy at -8.85 eV per atom. Its total magnetization is 0.417 μB/atom.

Cell: 5.096 5.099 7.114 Å, 88.58 88.57 85.42°
Space group P-1 (No. 2)
Symmetry-distinct sites (fractional):
Ba1 0.000 0.000 0.000 (multiplicity 1)
Np1 0.495 0.494 0.264 (multiplicity 2)
V1 0.000 0.000 0.500 (multiplicity 1)
O1 0.205 0.790 0.699 (multiplicity 2)
O2 0.211 0.795 0.300 (multiplicity 2)
O3 0.311 0.312 0.496 (multiplicity 2)
O4 0.340 0.341 0.976 (multiplicity 2)